1.
A plane-wave DFT calculation with PBE was carried out for a relaxed structure of Dy2Ga2FeCo5.

The structure in extended XYZ format:
```
20
Lattice="-0.3959 -3.2126 0.5516 9.3996 -1.2815 -0.7167 0.9165 1.4926 9.3510" Properties=species:S:1:pos:R:3 pbc="T T T"
Dy 6.4789 -0.6043 1.1307
Dy 3.8372 0.8154 7.5036
Dy 1.9213 0.2679 2.9392
Dy 8.3949 -0.0568 5.6951
Ga 1.7591 0.7729 5.7643
Ga 8.5570 -0.5618 2.8700
Ga 6.6861 0.5020 7.7231
Ga 3.6301 -0.2909 0.9112
Fe 0.0000 0.0000 0.0000
Fe 5.1581 0.1056 4.3171
Co 1.6739 -1.7665 0.6865
Co 8.2464 -1.2350 8.4994
Co 1.0934 -0.4777 7.7761
Co 6.7243 -1.8363 3.9050
Co 8.8268 -2.5238 1.4098
Co 3.1960 -1.1652 5.2809
Co 5.6895 -1.2874 6.3594
Co 4.2307 -1.7142 2.8265
Co 4.5019 -2.2471 -0.0826
Co 0.2603 -0.8600 4.9513
```

Calculated values
As for the volume: 14.9 A^3/atom. The space-group type is P4/mbm. The value obtained for the formation energy is -0.125 eV per atom. The value obtained for the density of states at the Fermi level is 18.11 states/eV/cell.

2.
A plane-wave DFT calculation with PBE was carried out for a relaxed structure of DyGa3FeCo.

The structure in extended XYZ format:
```
12
Lattice="5.5372 0.0000 0.0000 0.0000 7.5586 0.0000 0.0000 -3.7793 5.0550" Properties=species:S:1:pos:R:3 pbc="T T T"
Dy 4.1529 0.0000 2.9229
Dy 1.3843 3.7793 2.1321
Ga 1.3843 0.0000 2.0236
Ga 0.0000 1.9334 0.0000
Ga 2.7686 5.6252 0.0000
Ga 2.7686 1.9334 0.0000
Ga 0.0000 5.6252 0.0000
Ga 4.1529 3.7793 3.0314
Fe 1.3843 0.0000 4.3286
Fe 4.1529 3.7793 0.7265
Co 1.3843 3.7793 4.7883
Co 4.1529 0.0000 0.2667
```

Calculated values
As for the volume: 17.6 A^3/atom. The space-group type is Cmcm. The value obtained for the formation energy is -0.176 eV per atom. The value obtained for the density of states at the Fermi level is 5.47 states/eV/cell.

3.
A plane-wave DFT calculation with PBE was carried out for a relaxed structure of Dy2GaFe2Co5.

The structure in extended XYZ format:
```
20
Lattice="-2.1448 -2.6958 -1.0799 5.4587 -1.5390 -6.9997 4.7663 -5.7913 4.9904" Properties=species:S:1:pos:R:3 pbc="T T T"
Dy 4.5990 -2.1099 -3.8673
Dy 5.6260 -5.2205 1.8579
Dy 2.5098 -2.1181 0.3027
Dy 7.7153 -5.2123 -2.3121
Ga 0.0000 0.0000 0.0000
Ga 5.1125 -3.6652 -1.0047
Fe 3.5552 -3.7359 2.2649
Fe 6.6699 -3.5945 -4.2742
Fe 7.5750 -6.0735 0.1162
Fe 2.6500 -1.2569 -2.1255
Co 0.3364 -2.0009 -1.7077
Co 7.7439 -8.0252 -1.3815
Co 3.0173 -6.0241 3.0105
Co 4.9004 -4.9998 -3.2866
Co 5.0629 -4.0021 -6.0997
Co 3.1798 -5.0264 0.1973
Co 5.3448 -6.3053 -0.9101
Co 2.7354 -3.7208 -2.1791
Co 1.6569 -2.1174 -4.0398
Co 1.3108 -4.2435 1.9552
```

Calculated values
As for the volume: 14.7 A^3/atom. The space-group type is P4/mbm. The value obtained for the formation energy is -0.050 eV per atom. The value obtained for the density of states at the Fermi level is 20.16 states/eV/cell.

4.
A plane-wave DFT calculation with PBE was carried out for a relaxed structure of GdDyFeCo.

The structure in extended XYZ format:
```
4
Lattice="4.7588 0.0000 0.0000 2.3794 4.1212 0.0000 2.3794 1.3737 3.8855" Properties=species:S:1:pos:R:3 pbc="T T T"
Gd 4.7588 2.7475 1.9428
Co 2.3794 1.3737 0.9714
Fe 7.1381 4.1212 2.9141
Dy 0.0000 0.0000 0.0000
```

Calculated values
As for the volume: 19.1 A^3/atom. The space-group type is F-43m. The value obtained for the formation energy is 0.079 eV per atom. The value obtained for the density of states at the Fermi level is 6.62 states/eV/cell.

5.
A plane-wave DFT calculation with PBE was carried out for a relaxed structure of DyFeCoGe3.

The structure in extended XYZ format:
```
12
Lattice="7.1987 0.0000 0.0000 0.0000 5.6308 0.0000 0.0000 -2.8154 5.3518" Properties=species:S:1:pos:R:3 pbc="T T T"
Dy 5.3990 0.0000 2.7770
Dy 1.7997 2.8154 2.5748
Fe 1.7997 0.0000 4.6591
Fe 5.3990 2.8154 0.6928
Co 1.7997 0.0000 0.2542
Co 5.3990 2.8154 5.0976
Ge 1.7997 0.0000 2.4635
Ge 0.0000 1.4505 0.0000
Ge 3.5993 4.1803 0.0000
Ge 3.5993 1.4505 0.0000
Ge 0.0000 4.1803 0.0000
Ge 5.3990 2.8154 2.8883
```

Calculated values
As for the volume: 18.1 A^3/atom. The space-group type is Cmcm. The value obtained for the formation energy is -0.185 eV per atom. The value obtained for the density of states at the Fermi level is 7.22 states/eV/cell.

6.
A plane-wave DFT calculation with PBE was carried out for a relaxed structure of DyFeCoGe2.

The structure in extended XYZ format:
```
5
Lattice="-3.5450 1.8548 0.0983 -1.1034 -2.2733 3.1035 4.1802 3.5903 1.5356" Properties=species:S:1:pos:R:3 pbc="T T T"
Dy 0.0000 0.0000 0.0000
Fe -0.8445 2.6180 1.6174
Co 0.3763 0.5539 3.1200
Ge -1.8400 0.6729 2.4192
Ge 1.3718 2.4990 2.3182
```

Calculated values
As for the volume: 15.9 A^3/atom. The space-group type is I-4m2. The value obtained for the formation energy is -0.548 eV per atom. The value obtained for the density of states at the Fermi level is 3.04 states/eV/cell.

7.
A plane-wave DFT calculation with PBE was carried out for a relaxed structure of DyHoFeCo.

The structure in extended XYZ format:
```
4
Lattice="4.7326 0.0000 0.0000 2.3663 4.0985 0.0000 2.3663 1.3662 3.8641" Properties=species:S:1:pos:R:3 pbc="T T T"
Fe 7.0989 4.0985 2.8981
Co 2.3663 1.3662 0.9660
Ho 4.7326 2.7324 1.9321
Dy 0.0000 0.0000 0.0000
```

Calculated values
As for the volume: 18.7 A^3/atom. The space-group type is F-43m. The value obtained for the formation energy is 0.031 eV per atom. The value obtained for the density of states at the Fermi level is 6.99 states/eV/cell.

8.
A plane-wave DFT calculation with PBE was carried out for a relaxed structure of DyLuFeCo.

The structure in extended XYZ format:
```
4
Lattice="4.6469 0.0000 0.0000 2.3234 4.0243 0.0000 2.3234 1.3414 3.7942" Properties=species:S:1:pos:R:3 pbc="T T T"
Lu 4.6469 2.6829 1.8971
Co 2.3234 1.3414 0.9485
Fe 6.9703 4.0243 2.8456
Dy 0.0000 0.0000 0.0000
```

Calculated values
As for the volume: 17.7 A^3/atom. The space-group type is F-43m. The value obtained for the formation energy is -0.004 eV per atom. The value obtained for the density of states at the Fermi level is 5.42 states/eV/cell.

9.
A plane-wave DFT calculation with PBE was carried out for a relaxed structure of DyFeCoP2.

The structure in extended XYZ format:
```
5
Lattice="3.7910 0.0000 0.0000 0.0000 3.7910 0.0000 -1.8955 -1.8955 4.7670" Properties=species:S:1:pos:R:3 pbc="T T T"
Dy 0.0000 0.0000 0.0000
Fe 1.8955 0.0000 2.3835
Co 0.0000 1.8955 2.3835
P 1.8955 1.8955 1.2060
P 0.0000 0.0000 3.5611
```

Calculated values
As for the volume: 13.7 A^3/atom. The space-group type is I-4m2. The value obtained for the formation energy is -1.003 eV per atom. The value obtained for the density of states at the Fermi level is 2.93 states/eV/cell.

10.
A plane-wave DFT calculation with PBE was carried out for a relaxed structure of DyFeCoSi2.

The structure in extended XYZ format:
```
5
Lattice="3.9241 0.0000 0.0000 0.0000 3.9241 0.0000 -1.9620 -1.9620 4.7932" Properties=species:S:1:pos:R:3 pbc="T T T"
Dy 0.0000 0.0000 0.0000
Fe 1.9620 0.0000 2.3966
Co 0.0000 1.9620 2.3966
Si 1.9620 1.9620 1.2623
Si 0.0000 0.0000 3.5310
```

Calculated values
As for the volume: 14.8 A^3/atom. The uncorrected energy is -6.97 eV/atom. The space-group type is I-4m2. The value obtained for the density of states at the Fermi level is 2.46 states/eV/cell.

11.
A plane-wave DFT calculation with PBE was carried out for a relaxed structure of DyFeCoSi3.

The structure in extended XYZ format:
```
12
Lattice="5.6755 0.0000 0.0000 0.0000 5.9618 0.0000 0.0000 -2.9809 5.7788" Properties=species:S:1:pos:R:3 pbc="T T T"
Dy 4.2566 0.0000 2.5989
Dy 1.4189 2.9809 3.1799
Fe 1.4189 0.0000 0.3092
Fe 4.2566 2.9809 5.4697
Co 1.4189 0.0000 4.5147
Co 4.2566 2.9809 1.2642
Si 1.4189 0.0000 2.4188
Si 0.0000 1.7523 0.0000
Si 2.8377 4.2095 0.0000
Si 2.8377 1.7523 0.0000
Si 0.0000 4.2095 0.0000
Si 4.2566 2.9809 3.3600
```

Calculated values
As for the volume: 16.3 A^3/atom. The uncorrected energy is -6.43 eV/atom. The space-group type is Cmcm. The value obtained for the density of states at the Fermi level is 7.75 states/eV/cell.

12.
A plane-wave DFT calculation with PBE was carried out for a relaxed structure of TbDyFeCo.

The structure in extended XYZ format:
```
4
Lattice="4.7559 0.0000 0.0000 2.3780 4.1188 0.0000 2.3780 1.3729 3.8832" Properties=species:S:1:pos:R:3 pbc="T T T"
Co 0.0000 0.0000 0.0000
Tb 2.3780 1.3729 0.9708
Fe 4.7559 2.7458 1.9416
Dy 7.1339 4.1188 2.9124
```

Calculated values
As for the volume: 19.0 A^3/atom. The space-group type is F-43m. The value obtained for the formation energy is 0.053 eV per atom. The value obtained for the density of states at the Fermi level is 6.76 states/eV/cell.